No. 1
Crystalline Ho2In5Hg at its relaxed geometry, computed with PBE-GGA.

Final energy   -3.280 eV/atom
Crystal system   orthorhombic
Energy of formation   -0.386 eV per atom

Cell: 4.656 6.484 12.993 Å, 90.00 90.00 90.00°
Positions (direct):
In  0.000  0.001  0.749
In  0.000  0.499  0.249
In  0.500  0.748  0.124
In  0.000  0.000  0.000
In  0.500  0.752  0.624
In  0.500  0.252  0.876
In  0.000  0.500  0.500
In  0.000  0.501  0.751
In  0.500  0.248  0.376
In  0.000  0.999  0.251
Hg  0.000  0.000  0.500
Hg  0.000  0.500  0.000
Ho  0.500  0.751  0.874
Ho  0.500  0.249  0.126
Ho  0.500  0.749  0.374
Ho  0.500  0.251  0.626



No. 2
Crystalline Ca2PrAg3 at its relaxed geometry, computed with PBE-GGA.

Final energy   -3.183 eV/atom
Crystal system   orthorhombic
Energy of formation   -0.293 eV per atom

Cell: 3.720 5.298 8.362 Å, 108.47 90.00 90.00°
Positions (direct):
Ag  0.500  0.835  0.669
Ag  0.500  0.165  0.331
Ag  0.500  0.500  0.000
Ca  0.000  0.668  0.335
Ca  0.000  0.332  0.665
Pr  0.000  0.000  0.000



No. 3
Crystalline ZrZnBr4 at its relaxed geometry, computed with PBE-GGA.

Final energy   -2.158 eV/atom
Crystal system   cubic
Uncorrected formation energy   0.594 eV per atom

Cell: 6.172 6.172 6.172 Å, 60.00 60.00 60.00°
Positions (direct):
Br  0.877  0.374  0.374
Br  0.374  0.877  0.374
Br  0.374  0.374  0.374
Br  0.374  0.374  0.877
Zn  0.750  0.750  0.750
Zr  0.000  0.000  0.000



Please write out number 1 again, unchanged.
Crystalline Ho2In5Hg at its relaxed geometry, computed with PBE-GGA.

Final energy   -3.280 eV/atom
Crystal system   orthorhombic
Energy of formation   -0.386 eV per atom

Cell: 4.656 6.484 12.993 Å, 90.00 90.00 90.00°
Positions (direct):
In  0.000  0.001  0.749
In  0.000  0.499  0.249
In  0.500  0.748  0.124
In  0.000  0.000  0.000
In  0.500  0.752  0.624
In  0.500  0.252  0.876
In  0.000  0.500  0.500
In  0.000  0.501  0.751
In  0.500  0.248  0.376
In  0.000  0.999  0.251
Hg  0.000  0.000  0.500
Hg  0.000  0.500  0.000
Ho  0.500  0.751  0.874
Ho  0.500  0.249  0.126
Ho  0.500  0.749  0.374
Ho  0.500  0.251  0.626



What is the formula in the third record? ZrZnBr4



final energy of number 3 (ZrZnBr4)? -2.158 eV/atom



Please write out number 1 again, unchanged.
Crystalline Ho2In5Hg at its relaxed geometry, computed with PBE-GGA.

Final energy   -3.280 eV/atom
Crystal system   orthorhombic
Energy of formation   -0.386 eV per atom

Cell: 4.656 6.484 12.993 Å, 90.00 90.00 90.00°
Positions (direct):
In  0.000  0.001  0.749
In  0.000  0.499  0.249
In  0.500  0.748  0.124
In  0.000  0.000  0.000
In  0.500  0.752  0.624
In  0.500  0.252  0.876
In  0.000  0.500  0.500
In  0.000  0.501  0.751
In  0.500  0.248  0.376
In  0.000  0.999  0.251
Hg  0.000  0.000  0.500
Hg  0.000  0.500  0.000
Ho  0.500  0.751  0.874
Ho  0.500  0.249  0.126
Ho  0.500  0.749  0.374
Ho  0.500  0.251  0.626